# 1
This record from Alexandria describes a geometry-optimized Tl2SbAuBr6 structure. The functional is GGA-PBE.

Cell and atoms, written as CIF:
```
data_Tl2SbAuBr6
_symmetry_space_group_name_H-M 'P 1'
_symmetry_Int_Tables_number 1
_cell_length_a 7.995
_cell_length_b 8.147
_cell_length_c 8.165
_cell_angle_alpha 90.99
_cell_angle_beta 118.99
_cell_angle_gamma 118.86
loop_
_symmetry_equiv_pos_as_xyz
'x,y,z'
loop_
_atom_site_label
_atom_site_fract_x
_atom_site_fract_y
_atom_site_fract_z
Tl1 0.000 0.000 0.000
Tl2 0.151 0.756 0.563
Sb1 0.559 0.893 0.294
Au1 0.362 0.188 0.836
Br1 0.059 0.238 0.629
Br2 0.119 0.658 0.982
Br3 0.444 0.113 0.437
Br4 0.509 0.667 0.523
Br5 0.690 0.174 0.063
Br6 0.703 0.695 0.161
```

Summary:
Space-group type: P1



# 2
This record from Alexandria describes a geometry-optimized ScAuBr2 structure. The functional is GGA-PBE.

Cell and atoms, written as CIF:
```
data_ScAuBr2
_symmetry_space_group_name_H-M 'P 1'
_symmetry_Int_Tables_number 1
_cell_length_a 3.567
_cell_length_b 3.567
_cell_length_c 8.314
_cell_angle_alpha 90.00
_cell_angle_beta 90.00
_cell_angle_gamma 90.00
loop_
_symmetry_equiv_pos_as_xyz
'x,y,z'
loop_
_atom_site_label
_atom_site_fract_x
_atom_site_fract_y
_atom_site_fract_z
Sc1 0.000 0.000 0.000
Au1 0.500 0.500 0.163
Br1 0.000 0.000 0.345
Br2 0.500 0.500 0.774
```

Summary:
E above lowest polymorph in eV per atom: 0.240
Space-group type: P4mm



# 3
This record from Alexandria describes a geometry-optimized ScAuBr2 structure. The functional is GGA-PBE.

Cell and atoms, written as CIF:
```
data_ScAuBr2
_symmetry_space_group_name_H-M 'P 1'
_symmetry_Int_Tables_number 1
_cell_length_a 6.679
_cell_length_b 9.099
_cell_length_c 3.748
_cell_angle_alpha 90.00
_cell_angle_beta 122.11
_cell_angle_gamma 90.00
loop_
_symmetry_equiv_pos_as_xyz
'x,y,z'
loop_
_atom_site_label
_atom_site_fract_x
_atom_site_fract_y
_atom_site_fract_z
Sc1 0.000 0.000 0.000
Sc2 0.500 0.500 0.000
Au1 0.000 0.500 0.000
Au2 0.500 0.000 0.000
Br1 0.250 0.250 0.000
Br2 0.250 0.750 0.000
Br3 0.750 0.250 0.000
Br4 0.750 0.750 0.000
```

Summary:
E above lowest polymorph in eV per atom: 0.655
Space-group type: C2/m



# 4
This record from Alexandria describes a geometry-optimized ScAu2Br structure. The functional is GGA-PBE.

Cell and atoms, written as CIF:
```
data_ScAu2Br
_symmetry_space_group_name_H-M 'P 1'
_symmetry_Int_Tables_number 1
_cell_length_a 3.275
_cell_length_b 4.706
_cell_length_c 11.206
_cell_angle_alpha 90.00
_cell_angle_beta 90.00
_cell_angle_gamma 90.00
loop_
_symmetry_equiv_pos_as_xyz
'x,y,z'
loop_
_atom_site_label
_atom_site_fract_x
_atom_site_fract_y
_atom_site_fract_z
Sc1 0.000 0.000 0.000
Sc2 0.500 0.500 0.500
Au1 0.000 0.500 0.289
Au2 0.000 0.500 0.711
Au3 0.500 0.000 0.211
Au4 0.500 0.000 0.789
Br1 0.000 0.000 0.500
Br2 0.500 0.500 0.000
```

Summary:
E above lowest polymorph in eV per atom: 0.208
Space-group type: Immm



Values of calculated volume, in order: 38.49 26.45 24.11 21.58, all in A^3/atom.
Values of total energy, in order: -2.82 -4.06 -3.64 -4.12, all in eV per atom.
Values of energy relative to the elements, uncorrected, in order: -0.6072 -0.8197 -0.4049 -0.4771, all in eV per atom.